# PBE+U La2CoF8, relaxed
data_La2CoF8
_chemical_formula_sum 'La2 Co1 F8'
_space_group_name_H-M_alt 'P 1'
_space_group_IT_number 1
_cell_length_a 4.789
_cell_length_b 6.286
_cell_length_c 6.286
_cell_angle_alpha 73.69
_cell_angle_beta 74.75
_cell_angle_gamma 74.75
loop_
_space_group_symop_operation_xyz
'x,y,z'
loop_
_atom_site_label
_atom_site_type_symbol
_atom_site_fract_x
_atom_site_fract_y
_atom_site_fract_z
_atom_site_occupancy
F1 F 0.774 0.869 0.869 1
F2 F 0.271 0.671 0.047 1
F3 F 0.226 0.131 0.131 1
F4 F 0.198 0.582 0.582 1
F5 F 0.802 0.418 0.418 1
F6 F 0.271 0.047 0.671 1
F7 F 0.729 0.953 0.329 1
F8 F 0.729 0.329 0.953 1
La1 La 0.372 0.323 0.323 1
La2 La 0.628 0.677 0.677 1
Co1 Co 0.000 0.000 0.000 1
# Electronic total energy   -69.40 eV per formula unit
# M_tot   3.00 Bohr magnetons per cell